The following is a DFT calculation (SCAN) of Zr2PCl at its PBEsol-relaxed geometry.

The space group is Imm2 (No. 44) and the conventional cell measures 3.4538, 3.4765 and 11.8792 Å, with angles of 90.00, 90.00 and 90.00 degrees. The inequivalent atoms are Zr at (0.0000, 0.0000, 0.0000), Zr at (0.0000, 0.5000, 0.2410), P at (0.0000, 0.0000, 0.5787) and Cl at (0.0000, 0.5000, 0.8279).

Its crystal system is orthorhombic.



The following is a DFT calculation (SCAN) of ZrPCl2 at its PBEsol-relaxed geometry.

The space group is Immm (No. 71) and the conventional cell measures 3.2119, 4.2496 and 13.8249 Å, with angles of 90.00, 90.00 and 90.00 degrees. The inequivalent atoms are Zr at (0.0000, 0.0000, 0.0000), P at (0.0000, 0.0000, 0.5000) and Cl at (0.0000, 0.5000, 0.3470).

Its crystal system is orthorhombic.



The following is a DFT calculation (SCAN) of ZrPCl at its PBEsol-relaxed geometry.

The space group is P3m1 (No. 156) and the conventional cell measures 3.6464, 3.6464 and 5.9903 Å, with angles of 90.00, 90.00 and 120.00 degrees. The inequivalent atoms are Zr at (0.0000, 0.0000, 0.0000), P at (0.6667, 0.3333, 0.2244) and Cl at (0.3333, 0.6667, 0.7181).

Its crystal system is trigonal.



The following is a DFT calculation (SCAN) of ZrP2Cl at its PBEsol-relaxed geometry.

The space group is P4/mmm (No. 123) and the conventional cell measures 3.5098, 3.5098 and 5.9032 Å, with angles of 90.00, 90.00 and 90.00 degrees. The inequivalent atoms are Zr at (0.0000, 0.0000, 0.0000), P at (0.5000, 0.5000, 0.1876) and Cl at (0.0000, 0.0000, 0.5000).

Its crystal system is tetragonal.



The following is a DFT calculation (SCAN) of ZrP2Cl at its PBEsol-relaxed geometry.

The space group is Fm-3m (No. 225) and the conventional cell measures 6.5102, 6.5102 and 6.5102 Å, with angles of 90.00, 90.00 and 90.00 degrees. The inequivalent atoms are Zr at (0.0000, 0.0000, 0.0000), P at (0.2500, 0.2500, 0.2500) and Cl at (0.0000, 0.0000, 0.5000).

Its crystal system is cubic.



The following is a DFT calculation (SCAN) of PaCl4 at its PBEsol-relaxed geometry.

The space group is I4_1/amd (No. 141, origin choice 2) and the conventional cell measures 8.2832, 8.2832 and 7.4638 Å, with angles of 90.00, 90.00 and 90.00 degrees. The inequivalent atoms are Pa at (0.0000, 0.2500, 0.3750) and Cl at (0.0000, 0.0642, 0.6976).

Its crystal system is tetragonal.



Formation energy (no corrections) values (in kJ/mol of atoms) by entry order: -120.7, -98.7, -124.4, -69.0, 15.3, -195.2.